DFT (PBEsol) results for crystalline BaHfReNi2 at its relaxed geometry.

Summary:
Spin magnetization: 0.0 μB per cell
Formation energy from the elements: 0.77 eV per atom
Symmetry: P4/mmm (123)

The structure in POSCAR format:
```
BaHfReNi2
1.0
4.7756 0.0000 0.0000
0.0000 4.7756 0.0000
0.0000 0.0000 4.8619
Ba Hf Re Ni
1 1 1 2
Direct
0.0000 0.0000 0.0000
0.5000 0.5000 0.0000
0.5000 0.5000 0.5000
0.0000 0.5000 0.5000
0.5000 0.0000 0.5000
```


DFT (PBEsol) results for crystalline Ba4Hf3O10 at its relaxed geometry.

Summary:
Spin magnetization: 0.0 μB per cell
Symmetry: I4/mmm (139)
Raw formation energy: -3.327 eV per atom

The structure in POSCAR format:
```
Ba4Hf3O10
1.0
-2.0760 2.0760 15.0127
2.0760 -2.0760 15.0127
2.0760 2.0760 -15.0127
Ba Hf O
4 3 10
Direct
0.0688 0.0688 0.0000
0.2035 0.2035 0.0000
0.7965 0.7965 0.0000
0.9312 0.9312 0.0000
0.3607 0.3607 0.0000
0.5000 0.5000 0.0000
0.6393 0.6393 0.0000
0.0000 0.5000 0.5000
0.1383 0.6383 0.5000
0.2920 0.2920 0.0000
0.3617 0.8617 0.5000
0.4308 0.4308 0.0000
0.5000 0.0000 0.5000
0.5692 0.5692 0.0000
0.6383 0.1383 0.5000
0.7080 0.7080 0.0000
0.8617 0.3617 0.5000
```


DFT (PBEsol) results for crystalline Ba6HfO8 at its relaxed geometry.

Summary:
Spin magnetization: 0.0 μB per cell
Symmetry: Fm-3m (225)
Raw formation energy: -2.748 eV per atom

The structure in POSCAR format:
```
Ba6HfO8
1.0
0.0000 5.3670 5.3670
5.3670 0.0000 5.3670
5.3670 5.3670 0.0000
Ba Hf O
6 1 8
Direct
0.0000 0.0000 0.5000
0.0000 0.5000 0.0000
0.0000 0.5000 0.5000
0.5000 0.0000 0.0000
0.5000 0.0000 0.5000
0.5000 0.5000 0.0000
0.0000 0.0000 0.0000
0.1990 0.1990 0.8010
0.1990 0.8010 0.1990
0.1990 0.8010 0.8010
0.2500 0.2500 0.2500
0.7500 0.7500 0.7500
0.8010 0.1990 0.1990
0.8010 0.1990 0.8010
0.8010 0.8010 0.1990
```


DFT (PBEsol) results for crystalline BaHfO3 at its relaxed geometry.

Summary:
Spin magnetization: 0.0 μB per cell
Symmetry: Pm-3m (221)
Raw formation energy: -3.423 eV per atom

The structure in POSCAR format:
```
BaHfO3
1.0
4.1542 0.0000 0.0000
0.0000 4.1542 0.0000
0.0000 0.0000 4.1542
Ba Hf O
1 1 3
Direct
0.0000 0.0000 0.0000
0.5000 0.5000 0.5000
0.0000 0.5000 0.5000
0.5000 0.0000 0.5000
0.5000 0.5000 0.0000
```


DFT (PBEsol) results for crystalline BaHfPO2 at its relaxed geometry.

Summary:
Spin magnetization: 0.0 μB per cell
Symmetry: P4/mmm (123)
Raw formation energy: -2.129 eV per atom

The structure in POSCAR format:
```
BaHfPO2
1.0
4.1963 0.0000 0.0000
0.0000 4.1963 0.0000
0.0000 0.0000 5.1538
Ba Hf P O
1 1 1 2
Direct
0.0000 0.0000 0.0000
0.5000 0.5000 0.5000
0.5000 0.5000 0.0000
0.0000 0.5000 0.5000
0.5000 0.0000 0.5000
```


DFT (PBEsol) results for crystalline BaSrHf2O6 at its relaxed geometry.

Summary:
Spin magnetization: 0.0 μB per cell
Symmetry: I-42m (121)
Raw formation energy: -3.421 eV per atom

The structure in POSCAR format:
```
BaSrHf2O6
1.0
-2.8959 2.8959 4.1464
2.8959 -2.8959 4.1464
2.8959 2.8959 -4.1464
Ba Sr Hf O
1 1 2 6
Direct
0.0000 0.0000 0.0000
0.5000 0.5000 0.0000
0.2500 0.7500 0.5000
0.7500 0.2500 0.5000
0.0000 0.5000 0.5000
0.0483 0.0483 0.5753
0.4730 0.4730 0.4247
0.5000 0.0000 0.5000
0.5270 0.9517 0.0000
0.9517 0.5270 0.0000
```


DFT (PBEsol) results for crystalline BaHfOs3 at its relaxed geometry.

Summary:
Spin magnetization: 1.3 μB per cell
Formation energy from the elements: 1.75 eV per atom
Symmetry: Pm-3m (221)

The structure in POSCAR format:
```
BaHfOs3
1.0
4.9056 0.0000 0.0000
0.0000 4.9056 0.0000
0.0000 0.0000 4.9056
Ba Hf Os
1 1 3
Direct
0.0000 0.0000 0.0000
0.5000 0.5000 0.5000
0.0000 0.5000 0.5000
0.5000 0.0000 0.5000
0.5000 0.5000 0.0000
```


DFT (PBEsol) results for crystalline BaHfP2Os at its relaxed geometry.

Summary:
Spin magnetization: 2.3 μB per cell
Formation energy from the elements: 2.91 eV per atom
Symmetry: P4/mmm (123)

The structure in POSCAR format:
```
BaHfP2Os
1.0
5.0757 0.0000 0.0000
0.0000 5.0757 0.0000
0.0000 0.0000 5.4526
Ba Hf P Os
1 1 2 1
Direct
0.0000 0.0000 0.0000
0.0000 0.0000 0.5000
0.0000 0.5000 0.0000
0.5000 0.0000 0.0000
0.5000 0.5000 0.5000
```


DFT (PBEsol) results for crystalline BaHf2TeOs at its relaxed geometry.

Summary:
Spin magnetization: 0.0 μB per cell
Symmetry: P4/mmm (123)
Raw formation energy: 0.213 eV per atom

The structure in POSCAR format:
```
BaHf2TeOs
1.0
4.9485 0.0000 0.0000
0.0000 4.9485 0.0000
0.0000 0.0000 6.2548
Ba Hf Te Os
1 2 1 1
Direct
0.0000 0.0000 0.0000
0.0000 0.5000 0.5000
0.5000 0.0000 0.5000
0.5000 0.5000 0.0000
0.0000 0.0000 0.5000
```


DFT (PBEsol) results for crystalline BaHf3P at its relaxed geometry.

Summary:
Spin magnetization: 0.0 μB per cell
Formation energy from the elements: 2.30 eV per atom
Symmetry: Pm-3m (221)

The structure in POSCAR format:
```
BaHf3P
1.0
5.1871 0.0000 0.0000
0.0000 5.1871 0.0000
0.0000 0.0000 5.1871
Ba Hf P
1 3 1
Direct
0.0000 0.0000 0.0000
0.0000 0.0000 0.5000
0.0000 0.5000 0.0000
0.5000 0.0000 0.0000
0.5000 0.5000 0.5000
```


DFT (PBEsol) results for crystalline Ba3HfPd at its relaxed geometry.

Summary:
Spin magnetization: 2.8 μB per cell
Formation energy from the elements: 0.55 eV per atom
Symmetry: Pm-3m (221)

The structure in POSCAR format:
```
Ba3HfPd
1.0
5.9588 0.0000 0.0000
0.0000 5.9588 0.0000
0.0000 0.0000 5.9588
Ba Hf Pd
3 1 1
Direct
0.0000 0.0000 0.5000
0.0000 0.5000 0.0000
0.5000 0.0000 0.0000
0.5000 0.5000 0.5000
0.0000 0.0000 0.0000
```


DFT (PBEsol) results for crystalline Ba2HfPdSe at its relaxed geometry.

Summary:
Spin magnetization: 0.0 μB per cell
Symmetry: P4/mmm (123)
Raw formation energy: 0.210 eV per atom

The structure in POSCAR format:
```
Ba2HfPdSe
1.0
6.1196 0.0000 0.0000
0.0000 6.1196 0.0000
0.0000 0.0000 4.7074
Ba Hf Pd Se
2 1 1 1
Direct
0.0000 0.5000 0.0000
0.5000 0.0000 0.0000
0.0000 0.0000 0.0000
0.0000 0.0000 0.5000
0.5000 0.5000 0.5000
```


DFT (PBEsol) results for crystalline RbBaHf2Pt at its relaxed geometry.

Summary:
Spin magnetization: 0.0 μB per cell
Formation energy from the elements: 1.81 eV per atom
Symmetry: P4/mmm (123)

The structure in POSCAR format:
```
RbBaHf2Pt
1.0
5.4648 0.0000 0.0000
0.0000 5.4648 0.0000
0.0000 0.0000 5.4747
Rb Ba Hf Pt
1 1 2 1
Direct
0.0000 0.0000 0.0000
0.5000 0.5000 0.5000
0.0000 0.5000 0.5000
0.5000 0.0000 0.5000
0.5000 0.5000 0.0000
```


DFT (PBEsol) results for crystalline BaHf2PtSe at its relaxed geometry.

Summary:
Spin magnetization: 0.0 μB per cell
Symmetry: P4/mmm (123)
Raw formation energy: 2.167 eV per atom

The structure in POSCAR format:
```
BaHf2PtSe
1.0
5.2552 0.0000 0.0000
0.0000 5.2552 0.0000
0.0000 0.0000 5.2663
Ba Hf Pt Se
1 2 1 1
Direct
0.0000 0.0000 0.0000
0.0000 0.5000 0.0000
0.5000 0.0000 0.0000
0.5000 0.5000 0.5000
0.0000 0.0000 0.5000
```


DFT (PBEsol) results for crystalline RbBaHf2Tl at its relaxed geometry.

Summary:
Spin magnetization: 0.0 μB per cell
Formation energy from the elements: 1.73 eV per atom
Symmetry: P4/mmm (123)

The structure in POSCAR format:
```
RbBaHf2Tl
1.0
5.4519 0.0000 0.0000
0.0000 5.4519 0.0000
0.0000 0.0000 6.1627
Rb Ba Hf Tl
1 1 2 1
Direct
0.0000 0.0000 0.0000
0.0000 0.0000 0.5000
0.0000 0.5000 0.5000
0.5000 0.0000 0.5000
0.5000 0.5000 0.0000
```


DFT (PBEsol) results for crystalline BaHf3Re at its relaxed geometry.

Summary:
Spin magnetization: 1.0 μB per cell
Formation energy from the elements: 2.73 eV per atom
Symmetry: Pm-3m (221)

The structure in POSCAR format:
```
BaHf3Re
1.0
5.0433 0.0000 0.0000
0.0000 5.0433 0.0000
0.0000 0.0000 5.0433
Ba Hf Re
1 3 1
Direct
0.0000 0.0000 0.0000
0.0000 0.0000 0.5000
0.0000 0.5000 0.0000
0.5000 0.0000 0.0000
0.5000 0.5000 0.5000
```


DFT (PBEsol) results for crystalline BaHfRh3 at its relaxed geometry.

Summary:
Spin magnetization: 0.0 μB per cell
Formation energy from the elements: 1.77 eV per atom
Symmetry: Pm-3m (221)

The structure in POSCAR format:
```
BaHfRh3
1.0
4.8875 0.0000 0.0000
0.0000 4.8875 0.0000
0.0000 0.0000 4.8875
Ba Hf Rh
1 1 3
Direct
0.0000 0.0000 0.0000
0.5000 0.5000 0.5000
0.0000 0.0000 0.5000
0.0000 0.5000 0.0000
0.5000 0.0000 0.0000
```


DFT (PBEsol) results for crystalline Ba3HfRh at its relaxed geometry.

Summary:
Spin magnetization: 2.1 μB per cell
Formation energy from the elements: 0.66 eV per atom
Symmetry: Pm-3m (221)

The structure in POSCAR format:
```
Ba3HfRh
1.0
5.8102 0.0000 0.0000
0.0000 5.8102 0.0000
0.0000 0.0000 5.8102
Ba Hf Rh
3 1 1
Direct
0.0000 0.0000 0.5000
0.0000 0.5000 0.0000
0.5000 0.0000 0.0000
0.5000 0.5000 0.5000
0.0000 0.0000 0.0000
```


DFT (PBEsol) results for crystalline BaHf3Ru at its relaxed geometry.

Summary:
Spin magnetization: 0.0 μB per cell
Formation energy from the elements: 0.31 eV per atom
Symmetry: Pm-3m (221)

The structure in POSCAR format:
```
BaHf3Ru
1.0
5.0713 0.0000 0.0000
0.0000 5.0713 0.0000
0.0000 0.0000 5.0713
Ba Hf Ru
1 3 1
Direct
0.0000 0.0000 0.0000
0.0000 0.5000 0.5000
0.5000 0.0000 0.5000
0.5000 0.5000 0.0000
0.5000 0.5000 0.5000
```


DFT (PBEsol) results for crystalline Ba2HfS4 at its relaxed geometry.

Summary:
Spin magnetization: 0.0 μB per cell
Symmetry: I4/mmm (139)
Raw formation energy: -1.959 eV per atom

The structure in POSCAR format:
```
Ba2HfS4
1.0
-2.4488 2.4488 7.8153
2.4488 -2.4488 7.8153
2.4488 2.4488 -7.8153
Ba Hf S
2 1 4
Direct
0.1418 0.1418 0.0000
0.8582 0.8582 0.0000
0.5000 0.5000 0.0000
0.0000 0.5000 0.5000
0.3375 0.3375 0.0000
0.5000 0.0000 0.5000
0.6625 0.6625 0.0000
```


DFT (PBEsol) results for crystalline Ba4Hf3S10 at its relaxed geometry.

Summary:
Spin magnetization: 0.0 μB per cell
Symmetry: I4/mmm (139)
Raw formation energy: -1.906 eV per atom

The structure in POSCAR format:
```
Ba4Hf3S10
1.0
-2.4670 2.4670 17.6154
2.4670 -2.4670 17.6154
2.4670 2.4670 -17.6154
Ba Hf S
4 3 10
Direct
0.0676 0.0676 0.0000
0.1998 0.1998 0.0000
0.8002 0.8002 0.0000
0.9324 0.9324 0.0000
0.3575 0.3575 0.0000
0.5000 0.5000 0.0000
0.6425 0.6425 0.0000
0.0000 0.5000 0.5000
0.1387 0.6387 0.5000
0.2874 0.2874 0.0000
0.3613 0.8613 0.5000
0.4297 0.4297 0.0000
0.5000 0.0000 0.5000
0.5703 0.5703 0.0000
0.6387 0.1387 0.5000
0.7126 0.7126 0.0000
0.8613 0.3613 0.5000
```


DFT (PBEsol) results for crystalline BaHf2SeS at its relaxed geometry.

Summary:
Spin magnetization: 0.0 μB per cell
Symmetry: P4/mmm (123)
Raw formation energy: -0.259 eV per atom

The structure in POSCAR format:
```
BaHf2SeS
1.0
4.6857 0.0000 0.0000
0.0000 4.6857 0.0000
0.0000 0.0000 6.6682
Ba Hf Se S
1 2 1 1
Direct
0.0000 0.0000 0.0000
0.0000 0.5000 0.5000
0.5000 0.0000 0.5000
0.5000 0.5000 0.0000
0.5000 0.5000 0.5000
```


DFT (PBEsol) results for crystalline Ba2HfTcS at its relaxed geometry.

Summary:
Spin magnetization: 0.0 μB per cell
Symmetry: P4/mmm (123)
Raw formation energy: 0.697 eV per atom

The structure in POSCAR format:
```
Ba2HfTcS
1.0
6.2355 0.0000 0.0000
0.0000 6.2355 0.0000
0.0000 0.0000 4.4860
Ba Hf Tc S
2 1 1 1
Direct
0.0000 0.5000 0.0000
0.5000 0.0000 0.0000
0.0000 0.0000 0.0000
0.0000 0.0000 0.5000
0.5000 0.5000 0.5000
```


DFT (PBEsol) results for crystalline BaHfSb2Te at its relaxed geometry.

Summary:
Spin magnetization: 0.0 μB per cell
Symmetry: P4/mmm (123)
Raw formation energy: -0.595 eV per atom

The structure in POSCAR format:
```
BaHfSb2Te
1.0
5.4664 0.0000 0.0000
0.0000 5.4664 0.0000
0.0000 0.0000 5.6443
Ba Hf Sb Te
1 1 2 1
Direct
0.0000 0.0000 0.0000
0.5000 0.5000 0.5000
0.0000 0.5000 0.5000
0.5000 0.0000 0.5000
0.5000 0.5000 0.0000
```


DFT (PBEsol) results for crystalline BaHf2TiSn at its relaxed geometry.

Summary:
Spin magnetization: 3.3 μB per cell
Formation energy from the elements: 1.31 eV per atom
Symmetry: P4/mmm (123)

The structure in POSCAR format:
```
BaHf2TiSn
1.0
5.2918 0.0000 0.0000
0.0000 5.2918 0.0000
0.0000 0.0000 6.1076
Ba Hf Ti Sn
1 2 1 1
Direct
0.0000 0.0000 0.0000
0.0000 0.5000 0.5000
0.5000 0.0000 0.5000
0.5000 0.5000 0.0000
0.0000 0.0000 0.5000
```


DFT (PBEsol) results for crystalline Ba2HfZrSn at its relaxed geometry.

Summary:
Spin magnetization: 2.2 μB per cell
Formation energy from the elements: 1.10 eV per atom
Symmetry: P4/mmm (123)

The structure in POSCAR format:
```
Ba2HfZrSn
1.0
5.9303 0.0000 0.0000
0.0000 5.9303 0.0000
0.0000 0.0000 5.4440
Ba Hf Zr Sn
2 1 1 1
Direct
0.0000 0.5000 0.0000
0.5000 0.0000 0.0000
0.0000 0.0000 0.0000
0.5000 0.5000 0.5000
0.0000 0.0000 0.5000
```